# ZrRe3O, relaxed, DFT PBE
data_ZrRe3O
_chemical_formula_sum 'Zr1 Re3 O1'
_symmetry_space_group_name_H-M 'P m -3 m'
_symmetry_Int_Tables_number 221
_symmetry_space_group_name_Hall '-P 4 2 3'
_cell_length_a 4.845
_cell_length_b 4.845
_cell_length_c 4.845
_cell_angle_alpha 90.00
_cell_angle_beta 90.00
_cell_angle_gamma 90.00
loop_
_atom_site_label
_atom_site_type_symbol
_atom_site_fract_x
_atom_site_fract_y
_atom_site_fract_z
Zr1 Zr 0.000 0.000 0.000
Re1 Re 0.000 0.000 0.500
O1 O 0.500 0.500 0.500
# Energy relative to the lowest polymorph listed for this composition: 3186.8 meV per atom
# Mass density: 9.72 g cm⁻³
# Energy relative to the elements, uncorrected: 3.33 eV/atom